Dy2YRh | PBE-GGA | relaxed

Lattice parameters (Å, degrees): 7.1806 9.4965 6.2899 90.00 90.00 90.00
Space group Pnma (No. 62)
Inequivalent atoms, fractional coordinates:
Dy: 0.1772 0.0635 0.1706 (multiplicity 8)
Y: 0.0341 0.2500 0.6357 (multiplicity 4)
Rh: 0.1168 0.7500 0.9383 (multiplicity 4)

* DOS at the Fermi energy: 1.196 states/eV/atom
* M_tot: 0.0 μB/cell

***

DyY3Rh2 | PBE-GGA | relaxed

Lattice parameters (Å, degrees): 6.7153 13.5886 7.1130 90.00 90.00 90.00
Space group Ibam (No. 72)
Inequivalent atoms, fractional coordinates:
Dy: 0.0000 0.0000 0.0000 (multiplicity 4)
Y: 0.0000 0.2323 0.2500 (multiplicity 8)
Y: 0.0000 0.5000 0.2500 (multiplicity 4)
Rh: 0.2135 0.3626 0.0000 (multiplicity 8)

* DOS at the Fermi energy: 0.874 states/eV/atom
* M_tot: 0.0 μB/cell

***

Dy2YRh | PBE-GGA | relaxed

Lattice parameters (Å, degrees): 3.8364 11.8581 9.3894 90.00 90.00 90.00
Space group Cmcm (No. 63)
Inequivalent atoms, fractional coordinates:
Dy: 0.0000 0.1388 0.0668 (multiplicity 8)
Y: 0.0000 0.4250 0.2500 (multiplicity 4)
Rh: 0.0000 0.2587 0.7500 (multiplicity 4)

* DOS at the Fermi energy: 1.212 states/eV/atom
* M_tot: 0.0 μB/cell

***

no.,calculated density (g/cm³),calculated formation energy (eV per atom)
1,8.003,-0.5249
2,6.498,-0.5536
3,8.036,-0.4948